Material: Pr2NiAuN
Method: DFT, GGA-PBE
State: relaxed

```
Pr2NiAuN
1.0
6.736 0.000 0.000
0.000 3.915 0.000
-2.790 0.000 7.861
Pr Ni Au N
4 2 2 2
Cartesian
0.292 0.979 3.017
-1.263 0.979 7.610
5.208 2.936 0.251
3.653 2.936 4.844
2.382 2.936 1.933
1.563 0.979 5.928
0.037 2.936 5.470
3.908 0.979 2.391
0.618 2.936 1.326
3.327 0.979 6.536
```

crystal system	monoclinic
formation energy from raw total energies	-0.7498	eV per atom
D(E_F)	8.64	states/eV/cell
theoretical density	8.84	g/cm3

***

Material: KTlIn2Ga
Method: DFT, GGA-PBE
State: relaxed

```
KTlIn2Ga
1.0
5.594 0.000 0.000
0.000 5.594 0.000
0.000 0.000 5.702
K Tl In Ga
1 1 2 1
Cartesian
0.000 0.000 0.000
2.797 2.797 0.000
0.000 2.797 2.851
2.797 0.000 2.851
2.797 2.797 2.851
```

crystal system	tetragonal
calculated formation energy	0.110	eV/atom
D(E_F)	5.20	states/eV/cell
theoretical density	5.05	g/cm3

***

Material: Sc3RuC3
Method: DFT, GGA-PBE
State: relaxed

```
Sc3RuC3
1.0
4.189 -4.863 0.000
4.189 4.863 0.000
0.000 0.000 4.700
Sc Ru C
6 2 6
Cartesian
4.189 3.806 3.525
2.303 1.168 3.525
2.303 -1.168 1.175
6.075 1.168 3.525
6.075 -1.168 1.175
4.189 -3.806 1.175
4.189 1.805 1.175
4.189 -1.805 3.525
4.189 3.715 1.175
2.352 1.193 1.175
2.352 -1.193 3.525
6.026 1.193 1.175
6.026 -1.193 3.525
4.189 -3.715 3.525
```

crystal system	orthorhombic
calculated formation energy	-0.405	eV/atom
D(E_F)	9.09	states/eV/cell
theoretical density	4.72	g/cm3

***

- What is the D(E_F) in the first record?
  8.64 states/eV/cell

***

- Number 1 is which compound?
  Pr2NiAuN

***

Copy entry 3 word for word.
Material: Sc3RuC3
Method: DFT, GGA-PBE
State: relaxed

```
Sc3RuC3
1.0
4.189 -4.863 0.000
4.189 4.863 0.000
0.000 0.000 4.700
Sc Ru C
6 2 6
Cartesian
4.189 3.806 3.525
2.303 1.168 3.525
2.303 -1.168 1.175
6.075 1.168 3.525
6.075 -1.168 1.175
4.189 -3.806 1.175
4.189 1.805 1.175
4.189 -1.805 3.525
4.189 3.715 1.175
2.352 1.193 1.175
2.352 -1.193 3.525
6.026 1.193 1.175
6.026 -1.193 3.525
4.189 -3.715 3.525
```

crystal system	orthorhombic
calculated formation energy	-0.405	eV/atom
D(E_F)	9.09	states/eV/cell
theoretical density	4.72	g/cm3